Record 1
The following is a DFT calculation (GGA-PBEsol) of a geometry-optimized CdC2N4O4 structure.

Output
D(E_F) (states/eV per cell): 0.00
E_form (uncorrected) (eV/atom): -0.558

abc: 6.1268 10.0672 8.2611
angles: 90.00 90.00 90.00
With the nearest neighbours (Å) after each atom.
Space group P2_12_12 (No. 18)
Unique sites:
Cd 0.0000 0.0000 0.2014 (multiplicity 2)  4 C 3.66-3.75, 4 N 3.66-3.78, 8 O 3.68-4.01
C 0.1126 0.7851 0.8546 (multiplicity 4)  2 O 1.17-1.18
N 0.1460 0.6411 0.4863 (multiplicity 4)  1 N 1.11
N 0.2161 0.6762 0.3696 (multiplicity 4)  1 N 1.11
O 0.0277 0.7056 0.9376 (multiplicity 4)  1 C 1.18
O 0.1973 0.8642 0.7711 (multiplicity 4)  1 C 1.17

=====

Record 2
The following is a DFT calculation (GGA-PBEsol) of a geometry-optimized RbCdC3S3N3 structure.

Output
D(E_F) (states/eV per cell): 0.00
E_form (uncorrected) (eV/atom): -0.085

abc: 5.7066 13.1366 13.6079
angles: 90.00 111.72 90.00
With the nearest neighbours (Å) after each atom.
Space group P2_1/c (No. 14)
Unique sites:
Rb 0.0968 0.2114 0.2135 (multiplicity 4)  3 N 2.95-3.24
Cd 0.0000 0.0000 0.0000 (multiplicity 2)  4 N 2.29
Cd 0.5000 0.0000 0.5000 (multiplicity 2)  2 N 2.27
C 0.0709 0.5961 0.0903 (multiplicity 4)  1 N 1.19
C 0.3515 0.5569 0.7456 (multiplicity 4)  1 N 1.18
C 0.4928 0.6294 0.4909 (multiplicity 4)  1 N 1.18
S 0.2227 0.1759 0.9695 (multiplicity 4)  1 C 1.63
S 0.3109 0.6550 0.0795 (multiplicity 4)  1 C 1.63
S 0.4804 0.6350 0.8440 (multiplicity 4)  1 C 1.63
N 0.1071 0.0569 0.4006 (multiplicity 4)  1 C 1.19
N 0.2577 0.0003 0.1746 (multiplicity 4)  1 C 1.18
N 0.2831 0.5985 0.4601 (multiplicity 4)  1 C 1.18

=====

Record 3
The following is a DFT calculation (GGA-PBEsol) of a geometry-optimized CdCS2N structure.

Output
D(E_F) (states/eV per cell): 3.01
E_form (uncorrected) (eV/atom): 2.638

abc: 4.9587 4.9587 4.0817
angles: 90.00 90.00 90.00
With the nearest neighbours (Å) after each atom.
Space group P4/mmm (No. 123)
Unique sites:
Cd 0.0000 0.0000 0.0000 (multiplicity 1)  2 N 2.04
C 0.5000 0.5000 0.5000 (multiplicity 1)  8 S 3.21, 4 N 3.51
S 0.0000 0.5000 0.0000 (multiplicity 2)  2 Cd 2.48
N 0.0000 0.0000 0.5000 (multiplicity 1)  2 Cd 2.04

=====

Record 4
The following is a DFT calculation (GGA-PBEsol) of a geometry-optimized CdCSeN2 structure.

Output
D(E_F) (states/eV per cell): 2.78
E_form (uncorrected) (eV/atom): 2.065

abc: 3.6761 3.6761 4.4306
angles: 90.00 90.00 90.00
With the nearest neighbours (Å) after each atom.
Space group P4/mmm (No. 123)
Unique sites:
Cd 0.0000 0.0000 0.0000 (multiplicity 1)  4 Se 2.60, 8 N 2.88
C 0.5000 0.5000 0.5000 (multiplicity 1)  4 N 1.84
Se 0.5000 0.5000 0.0000 (multiplicity 1)  2 C 2.22
N 0.0000 0.5000 0.5000 (multiplicity 2)  2 C 1.84

=====

Record 5
The following is a DFT calculation (GGA-PBEsol) of a geometry-optimized CdCSe2N structure.

Output
D(E_F) (states/eV per cell): 2.18
E_form (uncorrected) (eV/atom): 0.526

abc: 6.0022 6.0022 2.5119
angles: 90.00 90.00 90.00
With the nearest neighbours (Å) after each atom.
Space group P4/mmm (No. 123)
Unique sites:
Cd 0.0000 0.0000 0.0000 (multiplicity 1)  2 Cd 2.51
C 0.5000 0.5000 0.5000 (multiplicity 1)  2 N 1.26
Se 0.0000 0.5000 0.5000 (multiplicity 2)  2 Se 2.51
N 0.5000 0.5000 0.0000 (multiplicity 1)  2 C 1.26

=====

Record 6
The following is a DFT calculation (GGA-PBEsol) of a geometry-optimized NaCd3C structure.

Output
D(E_F) (states/eV per cell): 1.60
Formation enthalpy at 0 K (kcal/mol of atoms): 17.005

abc: 4.6661 4.6661 4.6661
angles: 90.00 90.00 90.00
With the nearest neighbours (Å) after each atom.
Space group Pm-3m (No. 221)
Unique sites:
Na 0.0000 0.0000 0.0000 (multiplicity 1)  12 Cd 3.30
Cd 0.0000 0.5000 0.5000 (multiplicity 3)  2 C 2.33
C 0.5000 0.5000 0.5000 (multiplicity 1)  6 Cd 2.33